Here is a relaxed structure of AlAgP2 from Alexandria. Energies are from PBEsol.

Results
Magnetic moment = 0.0 μB/cell
Crystal system = orthorhombic
Uncorrected energy = -18.1 eV per formula unit
Formation energy = 216 meV per atom

```
data_AlAgP2
_chemical_formula_sum 'Al1 Ag1 P2'
_cell_length_a 2.714
_cell_length_b 3.315
_cell_length_c 6.898
_cell_angle_alpha 90.00
_cell_angle_beta 90.00
_cell_angle_gamma 90.00
_symmetry_space_group_name_H-M 'P m m m'
_symmetry_Int_Tables_number 47
loop_
_symmetry_equiv_pos_as_xyz
'x,y,z'
'-x,-y,-z'
'-x,-y,z'
'x,y,-z'
'x,-y,-z'
'-x,y,z'
'-x,y,-z'
'x,-y,z'
loop_
_atom_site_label
_atom_site_fract_x
_atom_site_fract_y
_atom_site_fract_z
Al1 0.000 0.000 0.000
Ag1 0.000 0.000 0.500
P1 0.500 0.500 0.225
```